No. 1
{
  "formula": "HfZrCuB",
  "functional": "PBE",
  "state": "relaxed",
  "relative_energy_kj_per_mol_atoms": 0.00,
  "lattice_angstrom": [[6.326, 0.000, 0.000], [0.000, 6.326, 0.000], [0.000, 0.000, 6.326]],
  "species": ["Hf", "Hf", "Hf", "Hf", "Zr", "Zr", "Zr", "Zr", "Cu", "Cu", "Cu", "Cu", "B", "B", "B", "B"],
  "frac_coords": [[0.000, 0.000, 0.000], [0.000, 0.500, 0.500], [0.500, 0.000, 0.500], [0.500, 0.500, 0.000], [0.250, 0.250, 0.250], [0.250, 0.750, 0.750], [0.750, 0.250, 0.750], [0.750, 0.750, 0.250], [0.250, 0.250, 0.750], [0.250, 0.750, 0.250], [0.750, 0.250, 0.250], [0.750, 0.750, 0.750], [0.000, 0.000, 0.500], [0.000, 0.500, 0.000], [0.500, 0.000, 0.000], [0.500, 0.500, 0.500]]
}

---

No. 2
{
  "formula": "DyTlSeS",
  "functional": "PBE",
  "state": "relaxed",
  "total_energy_ev_per_atom": -5.0817,
  "lattice_angstrom": [[4.105, 0.000, 0.000], [-2.053, 3.555, 0.000], [0.000, 0.000, 22.961]],
  "species": ["Dy", "Dy", "Dy", "Tl", "Tl", "Tl", "Se", "Se", "Se", "S", "S", "S"],
  "frac_coords": [[0.000, 0.000, 0.000], [0.333, 0.667, 0.667], [0.667, 0.333, 0.333], [0.000, 0.000, 0.496], [0.333, 0.667, 0.163], [0.667, 0.333, 0.829], [0.000, 0.000, 0.261], [0.333, 0.667, 0.928], [0.667, 0.333, 0.595], [0.000, 0.000, 0.728], [0.333, 0.667, 0.395], [0.667, 0.333, 0.062]]
}

---

No. 3
{
  "formula": "Al2CuSi",
  "functional": "PBE",
  "state": "relaxed",
  "total_energy_ev_per_atom": -3.9373,
  "lattice_angstrom": [[6.234, 0.000, 0.000], [0.000, 6.234, 0.000], [0.000, 0.000, 6.234]],
  "species": ["Al", "Al", "Al", "Al", "Al", "Al", "Al", "Al", "Cu", "Cu", "Cu", "Cu", "Si", "Si", "Si", "Si"],
  "frac_coords": [[0.000, 0.000, 0.000], [0.000, 0.500, 0.500], [0.250, 0.250, 0.250], [0.250, 0.750, 0.750], [0.500, 0.000, 0.500], [0.500, 0.500, 0.000], [0.750, 0.250, 0.750], [0.750, 0.750, 0.250], [0.250, 0.250, 0.750], [0.250, 0.750, 0.250], [0.750, 0.250, 0.250], [0.750, 0.750, 0.750], [0.000, 0.000, 0.500], [0.000, 0.500, 0.000], [0.500, 0.000, 0.000], [0.500, 0.500, 0.500]]
}